Material: PmZnF5
Method: DFT, PBE-GGA
State: optimized geometry

Computed properties:
The formation energy (no corrections) comes out at -23.2 eV/f.u. The volume is 15.96 Å³/atom.

The structure in CIF format:
```
data_PmZnF5
_chemical_formula_sum 'Pm2 Zn2 F10'
_symmetry_space_group_name_H-M 'P 1'
_symmetry_Int_Tables_number 1
_cell_length_a 5.738
_cell_length_b 5.738
_cell_length_c 7.805
_cell_angle_alpha 70.47
_cell_angle_beta 70.47
_cell_angle_gamma 72.94
loop_
_symmetry_equiv_pos_as_xyz
'x,y,z'
loop_
_atom_site_label
_atom_site_type_symbol
_atom_site_fract_x
_atom_site_fract_y
_atom_site_fract_z
_atom_site_occupancy
F1 F 0.304 0.680 0.466 1
F2 F 0.696 0.320 0.534 1
F3 F 0.785 0.744 0.120 1
F4 F 0.320 0.696 0.034 1
F5 F 0.256 0.215 0.380 1
F6 F 0.744 0.785 0.620 1
Pm1 Pm 0.556 0.444 0.250 1
F7 F 0.102 0.898 0.750 1
Zn1 Zn 0.000 0.000 0.500 1
Zn2 Zn 0.000 0.000 0.000 1
F8 F 0.898 0.102 0.250 1
F9 F 0.680 0.304 0.966 1
F10 F 0.215 0.256 0.880 1
Pm2 Pm 0.444 0.556 0.750 1
```

Material: SmZnSnRh
Method: DFT, PBE-GGA
State: optimized geometry

Computed properties:
The value obtained for the formation enthalpy at 0 K is -508 meV per atom. The volume is 19.81 Å³/atom.

The structure in CIF format:
```
data_SmZnSnRh
_chemical_formula_sum 'Sm1 Zn1 Sn1 Rh1'
_symmetry_space_group_name_H-M 'P 1'
_symmetry_Int_Tables_number 1
_cell_length_a 4.821
_cell_length_b 4.821
_cell_length_c 4.821
_cell_angle_alpha 60.00
_cell_angle_beta 60.00
_cell_angle_gamma 60.00
loop_
_symmetry_equiv_pos_as_xyz
'x,y,z'
loop_
_atom_site_label
_atom_site_type_symbol
_atom_site_fract_x
_atom_site_fract_y
_atom_site_fract_z
_atom_site_occupancy
Zn1 Zn 0.250 0.250 0.250 1
Sn1 Sn 0.000 0.000 0.000 1
Rh1 Rh 0.750 0.750 0.750 1
Sm1 Sm 0.500 0.500 0.500 1
```

Material: Sc2AuCO
Method: DFT, PBE-GGA
State: optimized geometry

Computed properties:
The formation energy (no corrections) comes out at -1.9 eV/f.u. The volume is 14.68 Å³/atom.

The structure in CIF format:
```
data_Sc2AuCO
_chemical_formula_sum 'Sc2 Au1 C1 O1'
_symmetry_space_group_name_H-M 'P 1'
_symmetry_Int_Tables_number 1
_cell_length_a 4.346
_cell_length_b 3.886
_cell_length_c 4.346
_cell_angle_alpha 90.00
_cell_angle_beta 90.00
_cell_angle_gamma 90.00
loop_
_symmetry_equiv_pos_as_xyz
'x,y,z'
loop_
_atom_site_label
_atom_site_type_symbol
_atom_site_fract_x
_atom_site_fract_y
_atom_site_fract_z
_atom_site_occupancy
O1 O 0.000 0.000 0.000 1
C1 C 0.000 0.500 0.000 1
Au1 Au 0.500 0.500 0.500 1
Sc1 Sc 0.000 0.000 0.500 1
Sc2 Sc 0.500 0.000 0.000 1
```

Material: NaAc2IO6
Method: DFT, PBE-GGA
State: optimized geometry

Computed properties:
The formation energy (no corrections) comes out at -20.7 eV/f.u. The volume is 16.47 Å³/atom.

The structure in CIF format:
```
data_NaAc2IO6
_chemical_formula_sum 'Na1 Ac2 I1 O6'
_symmetry_space_group_name_H-M 'P 1'
_symmetry_Int_Tables_number 1
_cell_length_a 6.128
_cell_length_b 6.128
_cell_length_c 6.128
_cell_angle_alpha 60.53
_cell_angle_beta 60.53
_cell_angle_gamma 60.53
loop_
_symmetry_equiv_pos_as_xyz
'x,y,z'
loop_
_atom_site_label
_atom_site_type_symbol
_atom_site_fract_x
_atom_site_fract_y
_atom_site_fract_z
_atom_site_occupancy
I1 I 0.002 0.002 0.002 1
O1 O 0.873 0.286 0.645 1
O2 O 0.319 0.126 0.810 1
O3 O 0.126 0.810 0.319 1
O4 O 0.810 0.319 0.126 1
O5 O 0.286 0.645 0.873 1
Ac1 Ac 0.231 0.231 0.231 1
Ac2 Ac 0.717 0.717 0.717 1
Na1 Na 0.492 0.492 0.492 1
O6 O 0.645 0.873 0.286 1
```

no.,total energy (Ry per atom)
1,-0.40469
2,-0.35607
3,-0.47020
4,-0.45236